Mn2HPd PBE relaxed; crystal system = cubic; D(E_F) = 14.8 states/eV/f.u.; distance to the lowest polymorph of the same formula = 976 meV per atom
1.0
2.8710 -1.8099 2.1076
-0.8993 -3.1103 2.3404
1.2046 -3.6731 -1.0088
Mn Pd H
2 1 1
direct
0.7500 0.7500 0.7500
0.2500 0.2500 0.2500
0.5000 0.5000 0.5000
0.0000 0.0000 0.0000